Below is TaTc2P after structural relaxation, with properties calculated at the PBE level.

Lattice parameters (Å, degrees): 5.0658 5.0658 2.8760 103.72 103.72 115.43
Fractional positions:
Ta (0.0000, 0.0000, 0.0000)
Tc (0.0000, 0.5000, 0.5000)
Tc (0.5000, 0.0000, 0.5000)
P (0.5000, 0.5000, 0.0000)

Results
VASP energy   -37.95 eV/cell
Total moment   0.0 μB/cell
Calculated formation energy   11 meV/atom